[1]
# SrMg

Crystalline SrMg at its relaxed geometry (PBE, the Alexandria database).

- Total magnetization: 0.0 μB per cell
- Formation energy from the elements: -0.1 eV/f.u.
- Volume: 73 Å³/f.u.
- VASP energy: -1.6916 eV per atom

Cell: 4.179 4.179 4.179 Å, 90.00 90.00 90.00°
Element x y z (fractional)
1 Sr 0.000 0.000 0.000
2 Mg 0.500 0.500 0.500

=====

[2]
# Sr4Mg3

Crystalline Sr4Mg3 at its relaxed geometry (PBE, the Alexandria database).

- Total magnetization: 0.0 μB per cell
- Formation energy from the elements: 0.1 eV/f.u.
- Volume: 278 Å³/f.u.
- Offset from the most stable computed form: 32.2 meV per atom
- VASP energy: -1.6327 eV per atom

Cell: 6.690 6.690 7.160 Å, 90.00 90.00 120.00°
Element x y z (fractional)
1 Sr 0.000 0.000 0.241
2 Sr 0.000 0.000 0.759
3 Sr 0.333 0.667 0.500
4 Sr 0.667 0.333 0.500
5 Mg 0.000 0.500 0.000
6 Mg 0.500 0.000 0.000
7 Mg 0.500 0.500 0.000

=====

[3]
# Sr8Mg

Crystalline Sr8Mg at its relaxed geometry (PBE, the Alexandria database).

- Total magnetization: 0.0 μB per cell
- Formation energy from the elements: 0.2 eV/f.u.
- Volume: 452 Å³/f.u.
- Offset from the most stable computed form: 2.5 meV per atom
- VASP energy: -1.6514 eV per atom

Cell: 9.281 9.281 9.281 Å, 95.64 95.64 143.46°
Element x y z (fractional)
1 Sr 0.000 0.326 0.326
2 Sr 0.000 0.674 0.674
3 Sr 0.326 0.000 0.326
4 Sr 0.341 0.341 0.682
5 Sr 0.341 0.659 0.000
6 Sr 0.659 0.341 0.000
7 Sr 0.659 0.659 0.318
8 Sr 0.674 0.000 0.674
9 Mg 0.000 0.000 0.000

=====

[4]
# Sr8Mg

Crystalline Sr8Mg at its relaxed geometry (PBE, the Alexandria database).

- Total magnetization: 0.0 μB per cell
- Formation energy from the elements: 0.2 eV/f.u.
- Volume: 451 Å³/f.u.
- Offset from the most stable computed form: 0.0 meV per atom
- VASP energy: -1.6538 eV per atom

Cell: 10.098 10.098 10.098 Å, 93.07 93.07 153.22°
Element x y z (fractional)
1 Sr 0.000 0.334 0.334
2 Sr 0.000 0.666 0.666
3 Sr 0.334 0.000 0.334
4 Sr 0.346 0.346 0.692
5 Sr 0.346 0.654 0.000
6 Sr 0.654 0.346 0.000
7 Sr 0.654 0.654 0.308
8 Sr 0.666 0.000 0.666
9 Mg 0.000 0.000 0.000

=====

[5]
# SrMg

Crystalline SrMg at its relaxed geometry (PBE, the Alexandria database).

- Total magnetization: 0.0 μB per cell
- Formation energy from the elements: 0.2 eV/f.u.
- Volume: 79 Å³/f.u.
- VASP energy: -1.5210 eV per atom

Cell: 6.150 6.150 6.150 Å, 37.96 37.96 37.96°
Element x y z (fractional)
1 Sr 0.000 0.000 0.000
2 Mg 0.500 0.500 0.500

=====

[6]
# SrMg

Crystalline SrMg at its relaxed geometry (PBE, the Alexandria database).

- Total magnetization: 0.0 μB per cell
- Formation energy from the elements: 0.2 eV/f.u.
- Volume: 80 Å³/f.u.
- VASP energy: -1.5184 eV per atom

Cell: 9.340 9.340 9.340 Å, 92.40 92.40 156.36°
Element x y z (fractional)
1 Sr 0.123 0.818 0.941
2 Sr 0.182 0.123 0.305
3 Sr 0.818 0.877 0.695
4 Sr 0.877 0.182 0.059
5 Mg 0.078 0.386 0.465
6 Mg 0.386 0.922 0.308
7 Mg 0.614 0.078 0.692
8 Mg 0.922 0.614 0.535